The following is a DFT calculation (PBE-GGA) of a relaxed Ce4PrPb5 crystal.

Cell lengths 4.2289, 4.2289, 16.7261 Å; angles 90.00, 90.00, 90.00 degrees
Last column: magnetic moment on the atom in μB.
Sites, in units of the cell vectors:
Pb1 0.5000 0.5000 0.6979  -0.02
Ce1 0.0000 0.0000 0.7942  0.89
Pb2 0.5000 0.5000 0.3021  -0.02
Pb3 0.5000 0.5000 0.8972  0.01
Pb4 0.5000 0.5000 0.1028  0.01
Pb5 0.5000 0.5000 0.5000  -0.02
Ce2 0.0000 0.0000 0.5981  0.86
Ce3 0.0000 0.0000 0.4019  0.86
Ce4 0.0000 0.0000 0.2058  0.89
Pr1 0.0000 0.0000 0.0000  0.16

Calculated values
density = 9.645 Mg/m³
uncorrected energy = -51.2 eV/cell
DFT formation energy = -0.42 eV/atom
volume = 29.9 A^3/atom
magnetization = 4.716 Bohr magnetons per cell